[1]
PBE Ca8Sn2H3, optimized geometry; electronic total energy = -2.980 eV per atom; SG = C2/m (12); volume = 28.43 A^3/atom
1.0
6.959 -5.041 0.000
6.959 5.041 0.000
-2.154 0.000 5.268
Ca Sn H
8 2 3
Direct
0.078 0.078 0.344 Ca
0.183 0.613 0.170 Ca
0.354 0.354 0.630 Ca
0.387 0.817 0.830 Ca
0.613 0.183 0.170 Ca
0.646 0.646 0.370 Ca
0.817 0.387 0.830 Ca
0.922 0.922 0.656 Ca
0.211 0.211 0.984 Sn
0.789 0.789 0.016 Sn
0.155 0.845 0.500 H
0.500 0.500 0.000 H
0.845 0.155 0.500 H

---

[2]
PBE Ca2SnH2, optimized geometry; electronic total energy = -3.563 eV per atom; SG = I4/mmm (139); volume = 19.03 A^3/atom; ΔE to the lowest computed polymorph = 0 meV/atom
1.0
-1.830 1.830 7.104
1.830 -1.830 7.104
1.830 1.830 -7.104
Ca Sn H
2 1 2
Direct
0.158 0.158 0.000 Ca
0.842 0.842 0.000 Ca
0.500 0.500 0.000 Sn
0.250 0.750 0.500 H
0.750 0.250 0.500 H

---

[3]
PBE Ca2SnH, optimized geometry; electronic total energy = -3.183 eV per atom; SG = R-3m (166); volume = 23.65 A^3/atom; ΔE to the lowest computed polymorph = 159 meV/atom
1.0
1.873 1.081 7.789
-1.873 1.081 7.789
0.000 -2.162 7.789
Ca Sn H
2 1 1
Direct
0.230 0.230 0.230 Ca
0.770 0.770 0.770 Ca
0.000 0.000 0.000 Sn
0.500 0.500 0.500 H

---

[4]
PBE Ca2SnH, optimized geometry; electronic total energy = -3.037 eV per atom; SG = Fm-3m (225); volume = 25.31 A^3/atom; ΔE to the lowest computed polymorph = 304 meV/atom
1.0
0.000 3.699 3.699
3.699 0.000 3.699
3.699 3.699 0.000
Ca Sn H
2 1 1
Direct
0.250 0.250 0.250 Ca
0.750 0.750 0.750 Ca
0.000 0.000 0.000 Sn
0.500 0.500 0.500 H

---

[5]
PBE Ca2SnH2, optimized geometry; electronic total energy = -3.466 eV per atom; SG = C2/c (15); volume = 19.88 A^3/atom; ΔE to the lowest computed polymorph = 97 meV/atom
1.0
8.717 -1.855 0.000
8.717 1.855 0.000
-2.465 0.000 6.146
Ca Sn H
4 2 4
Direct
0.097 0.597 0.929 Ca
0.403 0.903 0.571 Ca
0.597 0.097 0.429 Ca
0.903 0.403 0.071 Ca
0.248 0.752 0.750 Sn
0.752 0.248 0.250 Sn
0.048 0.548 0.211 H
0.452 0.952 0.289 H
0.548 0.048 0.711 H
0.952 0.452 0.789 H

---

[6]
PBE Ca4Sn2H, optimized geometry; electronic total energy = -3.360 eV per atom; SG = P2_1/m (11); volume = 27.34 A^3/atom
1.0
6.179 0.000 0.000
0.000 6.888 0.000
-2.198 0.000 8.994
Ca Sn H
8 4 2
Direct
0.163 0.250 0.062 Ca
0.261 0.501 0.721 Ca
0.261 0.999 0.721 Ca
0.264 0.750 0.361 Ca
0.736 0.250 0.639 Ca
0.739 0.001 0.279 Ca
0.739 0.499 0.279 Ca
0.837 0.750 0.938 Ca
0.230 0.250 0.414 Sn
0.374 0.750 0.032 Sn
0.626 0.250 0.968 Sn
0.770 0.750 0.586 Sn
0.078 0.250 0.794 H
0.922 0.750 0.206 H

---

Q: Which of these has the highest volume?
A: Ca8Sn2H3